(1)
Computed, not measured: crystalline CuSb2Rh at its relaxed geometry at the PBE level of DFT.

Output
Magnetization = 0.00 μB per formula unit
Energy relative to the elements, uncorrected = -0.0871 eV/atom

abc: 8.419 3.395 6.431
angles: 90.00 109.91 90.00
Space group Cm (No. 8)
Symmetry-distinct sites (fractional):
Cu 0.000 0.000 0.000 (multiplicity 2)
Sb 0.016 0.500 0.365 (multiplicity 2)
Sb 0.239 0.000 0.833 (multiplicity 2)
Rh 0.260 0.500 0.178 (multiplicity 2)



(2)
Computed, not measured: crystalline Cu2SbRh at its relaxed geometry at the PBE level of DFT.

Output
Magnetization = 0.00 μB per formula unit
Energy relative to the elements, uncorrected = 0.0706 eV/atom

abc: 5.322 9.379 3.087
angles: 90.00 124.46 90.00
Space group C2/m (No. 12)
Symmetry-distinct sites (fractional):
Cu 0.250 0.250 0.000 (multiplicity 4)
Sb 0.000 0.000 0.000 (multiplicity 2)
Rh 0.000 0.500 0.000 (multiplicity 2)



(3)
Computed, not measured: crystalline CuSb2Rh at its relaxed geometry at the PBE level of DFT.

Output
Magnetization = 0.00 μB per formula unit
Energy relative to the elements, uncorrected = -0.0282 eV/atom

abc: 8.006 3.346 5.959
angles: 90.00 103.40 90.00
Space group C2/m (No. 12)
Symmetry-distinct sites (fractional):
Cu 0.000 0.000 0.000 (multiplicity 2)
Sb 0.245 0.000 0.744 (multiplicity 4)
Rh 0.000 0.500 0.500 (multiplicity 2)



(4)
Computed, not measured: crystalline CuSb2Rh at its relaxed geometry at the PBE level of DFT.

Output
Magnetization = 0.00 μB per formula unit
Energy relative to the elements, uncorrected = 0.0067 eV/atom

abc: 3.250 3.234 7.381
angles: 90.00 97.97 90.00
Space group P2/m (No. 10)
Symmetry-distinct sites (fractional):
Cu 0.000 0.000 0.000 (multiplicity 1)
Sb 0.432 0.500 0.266 (multiplicity 2)
Rh 0.000 0.000 0.500 (multiplicity 1)



(5)
Computed, not measured: crystalline Cu2SbRh at its relaxed geometry at the PBE level of DFT.

Output
Magnetization = 0.00 μB per formula unit
Energy relative to the elements, uncorrected = -0.0535 eV/atom

abc: 3.844 3.844 4.055
angles: 90.00 90.00 90.00
Space group P4/mmm (No. 123)
Symmetry-distinct sites (fractional):
Cu 0.000 0.500 0.000 (multiplicity 2)
Sb 0.000 0.000 0.500 (multiplicity 1)
Rh 0.500 0.500 0.500 (multiplicity 1)



(6)
Computed, not measured: crystalline Cu2SbRh at its relaxed geometry at the PBE level of DFT.

Output
Magnetization = 0.00 μB per formula unit
Energy relative to the elements, uncorrected = -0.0735 eV/atom

abc: 3.789 3.789 8.358
angles: 90.00 90.00 90.00
Space group I4/mmm (No. 139)
Symmetry-distinct sites (fractional):
Cu 0.000 0.500 0.250 (multiplicity 4)
Sb 0.000 0.000 0.000 (multiplicity 2)
Rh 0.000 0.000 0.500 (multiplicity 2)



Number 1: E -5.010 eV per atom. Number 2: E -4.846 eV per atom. Number 3: E -4.951 eV per atom. Number 4: E -4.916 eV per atom. Number 5: E -4.970 eV per atom. Number 6: E -4.990 eV per atom.